[1]
First-principles (PBE-GGA) data for crystalline KNa12Au5 at its relaxed geometry, as listed in Alexandria via LeMat-Bulk.

Cell: 8.9337 8.9337 8.9337 Å, 96.32 110.56 122.59°
With the nearest neighbours (Å) after each atom.
Fractional positions:
Na 0.4430 0.1765 0.2665  1 Na 3.03, 4 Au 3.04-3.15
Na 0.5570 0.8235 0.7335  1 Na 3.03, 4 Au 3.04-3.15
Na 0.8057 0.5803 0.7746  3 Au 2.95-3.22, 2 Na 3.24
Na 0.1943 0.4197 0.2254  3 Au 2.95-3.22, 2 Na 3.24
Na 0.3200 0.3184 0.6385  3 Au 3.01-3.16, 2 Na 3.24
Na 0.3200 0.6816 0.0016  3 Au 3.01-3.16, 2 Na 3.24
Na 0.9100 0.1765 0.7335  1 Na 3.03, 4 Au 3.04-3.15
Na 0.0900 0.8235 0.2665  1 Na 3.03, 4 Au 3.04-3.15
Na 0.1943 0.9689 0.7746  3 Au 2.95-3.22, 2 Na 3.24
Na 0.6800 0.6816 0.3615  3 Au 3.01-3.16, 2 Na 3.24
Na 0.6800 0.3184 0.9984  3 Au 3.01-3.16, 2 Na 3.24
Na 0.8057 0.0311 0.2254  3 Au 2.95-3.22, 2 Na 3.24
K 0.0000 0.5000 0.5000  12 Na 3.65-3.91
Au 0.0000 0.0000 0.0000  2 Au 2.89, 8 Na 3.11-3.16
Au 0.5000 0.1178 0.6178  1 Au 2.81, 2 Na 3.01
Au 0.3372 0.3372 0.0000  2 Au 2.79-2.89, 4 Na 2.95-3.04
Au 0.6628 0.6628 0.0000  2 Au 2.79-2.89, 4 Na 2.95-3.04
Au 0.5000 0.8822 0.3822  1 Au 2.81, 2 Na 3.01

Results
Calculated formation energy in meV/atom: -190

***

[2]
First-principles (PBE-GGA) data for crystalline KNa6Au4 at its relaxed geometry, as listed in Alexandria via LeMat-Bulk.

Cell: 4.8359 8.4618 8.4618 Å, 120.00 90.00 90.00°
With the nearest neighbours (Å) after each atom.
Fractional positions:
Na 0.0000 0.5339 0.0678  5 Au 2.94-3.04
Na 0.5000 0.1969 0.8031  4 Au 3.05-3.14
Na 0.5000 0.6063 0.8031  4 Au 3.05-3.14
Na 0.5000 0.1969 0.3937  4 Au 3.05-3.14
Na 0.0000 0.9322 0.4661  5 Au 2.94-3.04
Na 0.0000 0.5339 0.4661  5 Au 2.94-3.04
Au 0.5000 0.4349 0.2175  2 Au 2.94, 6 Na 3.04-3.05
Au 0.0000 0.3333 0.6667  9 Na 2.94-3.14
Au 0.5000 0.7825 0.5651  2 Au 2.94, 6 Na 3.04-3.05
Au 0.5000 0.7825 0.2175  2 Au 2.94, 6 Na 3.04-3.05
K 0.0000 0.0000 0.0000  6 Na 3.76, 6 Au 4.00

Results
Calculated formation energy in meV/atom: -260

***

[3]
First-principles (PBE-GGA) data for crystalline KNa8Au2 at its relaxed geometry, as listed in Alexandria via LeMat-Bulk.

Cell: 6.3202 8.8751 8.8750 Å, 48.48 95.02 95.02°
With the nearest neighbours (Å) after each atom.
Fractional positions:
Na 0.5700 0.1397 0.6166  2 Au 2.97-3.04
Na 0.4300 0.8603 0.3834  2 Au 2.97-3.04
Na 0.8326 0.2258 0.2258  2 Au 3.03-3.34, 1 Na 3.39
Na 0.4300 0.3834 0.8603  2 Au 2.97-3.04
Na 0.1238 0.4126 0.4126  1 Au 2.99
Na 0.1674 0.7742 0.7742  2 Au 3.03-3.34, 1 Na 3.39
Na 0.8762 0.5874 0.5874  1 Au 2.99
Na 0.5700 0.6166 0.1397  2 Au 2.97-3.04
Au 0.3138 0.2506 0.2506  6 Na 2.97-3.04
Au 0.6862 0.7494 0.7494  6 Na 2.97-3.04
K 0.0000 0.0000 0.0000  10 Na 3.73-4.01

Results
Calculated formation energy in meV/atom: -97

***

[4]
First-principles (PBE-GGA) data for crystalline K12Na6Au at its relaxed geometry, as listed in Alexandria via LeMat-Bulk.

Cell: 10.4661 10.4661 10.4661 Å, 89.80 89.80 89.80°
With the nearest neighbours (Å) after each atom.
Fractional positions:
K 0.3781 0.4014 0.8653  5 Na 4.12-4.49, 5 K 4.34-4.60
K 0.1347 0.6219 0.5986  5 Na 4.12-4.49, 5 K 4.34-4.60
K 0.6219 0.5986 0.1347  5 Na 4.12-4.49, 5 K 4.34-4.60
K 0.5986 0.1347 0.6219  5 Na 4.12-4.49, 5 K 4.34-4.60
K 0.0293 0.6933 0.0000  1 Au 3.22
K 0.0000 0.9707 0.3067  1 Au 3.22
K 0.4014 0.8653 0.3781  5 Na 4.12-4.49, 5 K 4.34-4.60
K 0.8653 0.3781 0.4014  5 Na 4.12-4.49, 5 K 4.34-4.60
K 0.6933 0.0000 0.0293  1 Au 3.22
K 0.9707 0.3067 0.0000  1 Au 3.22
K 0.0000 0.0293 0.6933  1 Au 3.22
K 0.3067 0.0000 0.9707  1 Au 3.22
Na 0.4913 0.2429 0.2434  2 Na 3.67, 1 K 3.99
Na 0.5087 0.7571 0.7566  2 Na 3.67, 1 K 3.99
Na 0.2429 0.2434 0.4913  2 Na 3.67, 1 K 3.99
Na 0.7571 0.7566 0.5087  2 Na 3.67, 1 K 3.99
Na 0.7566 0.5087 0.7571  2 Na 3.67, 1 K 3.99
Na 0.2434 0.4913 0.2429  2 Na 3.67, 1 K 3.99
Au 0.0000 0.0000 0.0000  6 K 3.22

Results
Calculated formation energy in meV/atom: 29

***

[5]
First-principles (PBE-GGA) data for crystalline KNa6Au at its relaxed geometry, as listed in Alexandria via LeMat-Bulk.

Cell: 5.3510 6.5423 9.6782 Å, 70.89 73.95 65.86°
With the nearest neighbours (Å) after each atom.
Fractional positions:
K 0.0000 0.5000 0.5000  12 Na 3.74-4.18
Na 0.4848 0.8522 0.1783  2 Au 3.16, 1 Na 3.36
Na 0.2242 0.8517 0.6998  1 Au 3.13
Na 0.7758 0.1483 0.3002  1 Au 3.13
Na 0.5152 0.1478 0.8217  2 Au 3.16, 1 Na 3.36
Na 0.7922 0.5157 0.8998  1 Au 2.99, 2 Na 3.24
Na 0.2078 0.4843 0.1002  1 Au 2.99, 2 Na 3.24
Au 0.0000 0.0000 0.0000  8 Na 2.99-3.16

Results
Calculated formation energy in meV/atom: -69

***

[6]
First-principles (PBE-GGA) data for crystalline K2Na5Au4 at its relaxed geometry, as listed in Alexandria via LeMat-Bulk.

Cell: 6.5117 7.6875 9.2067 Å, 59.39 69.29 64.94°
With the nearest neighbours (Å) after each atom.
Fractional positions:
Au 0.2161 0.3383 0.2295  1 Au 2.77, 3 Na 2.96-2.99
Au 0.5853 0.0605 0.7689  1 Au 2.77, 4 Na 2.94-3.08
Au 0.7839 0.6617 0.7705  1 Au 2.77, 3 Na 2.96-2.99
Au 0.4147 0.9395 0.2311  1 Au 2.77, 4 Na 2.94-3.08
Na 0.0000 0.5000 0.5000  2 Au 2.99
Na 0.8494 0.7247 0.0654  4 Au 2.94-3.18, 1 Na 3.18
Na 0.1506 0.2753 0.9346  4 Au 2.94-3.18, 1 Na 3.18
Na 0.3604 0.7247 0.0654  4 Au 2.94-3.18, 1 Na 3.18
Na 0.6396 0.2753 0.9346  4 Au 2.94-3.18, 1 Na 3.18
K 0.2515 0.8620 0.6349  4 Au 3.29-3.66
K 0.7485 0.1380 0.3651  4 Au 3.29-3.66

Results
Calculated formation energy in meV/atom: -209

***

[7]
First-principles (PBE-GGA) data for crystalline K4Na2Au at its relaxed geometry, as listed in Alexandria via LeMat-Bulk.

Cell: 6.4126 6.4126 10.7150 Å, 107.41 107.41 90.00°
With the nearest neighbours (Å) after each atom.
Fractional positions:
K 0.0000 0.5000 0.0000  2 Au 3.21
K 0.1730 0.1730 0.3460  1 Au 3.36
K 0.5000 0.0000 0.0000  2 Au 3.21
K 0.8270 0.8270 0.6540  1 Au 3.36
Au 0.0000 0.0000 0.0000  6 K 3.21-3.36
Na 0.6262 0.6262 0.2525  5 K 3.90-4.04
Na 0.3738 0.3738 0.7475  5 K 3.90-4.04

Results
Calculated formation energy in meV/atom: -29

***

[8]
First-principles (PBE-GGA) data for crystalline K8NaAu4 at its relaxed geometry, as listed in Alexandria via LeMat-Bulk.

Cell: 4.9864 10.0978 12.1599 Å, 90.01 78.17 75.71°
With the nearest neighbours (Å) after each atom.
Fractional positions:
K 0.9306 0.9002 0.2386  4 Au 3.37-3.76
K 0.8172 0.7668 0.5987  4 Au 3.33-3.60
K 0.8168 0.3400 0.0265  3 Au 3.35-3.40
K 0.2151 0.6629 0.9070  3 Au 3.35-3.40
K 0.2142 0.2367 0.3350  4 Au 3.33-3.60
K 0.4989 0.3925 0.6098  3 Au 3.26-3.36
K 0.5327 0.6115 0.3232  3 Au 3.26-3.36
K 0.1004 0.1036 0.6956  4 Au 3.37-3.75
Au 0.7179 0.0734 0.4908  2 Au 2.90
Au 0.3131 0.9303 0.4434  2 Au 2.90
Au 0.8725 0.4796 0.7754  6 K 3.26-3.60
Au 0.1593 0.5234 0.1580  6 K 3.26-3.60
Na 0.5157 0.0012 0.9674  8 K 4.18-4.25

Results
Calculated formation energy in meV/atom: -184

***

[9]
First-principles (PBE-GGA) data for crystalline KNa3Au2 at its relaxed geometry, as listed in Alexandria via LeMat-Bulk.

Cell: 4.6772 9.4300 9.4265 Å, 62.97 75.64 75.64°
With the nearest neighbours (Å) after each atom.
Fractional positions:
Na 0.0001 0.6594 0.3404  4 Au 3.05-3.28, 1 Na 3.14
Na 0.3345 0.4717 0.8594  3 Au 3.02-3.04
Na 0.3346 0.8589 0.4719  3 Au 3.02-3.04
Na 0.9999 0.3406 0.6596  4 Au 3.05-3.28, 1 Na 3.14
Na 0.6655 0.5283 0.1406  3 Au 3.02-3.04
Na 0.6654 0.1411 0.5281  3 Au 3.02-3.04
Au 0.5000 0.8578 0.1421  1 Au 2.80, 4 Na 3.02-3.05
Au 0.1873 0.3129 0.3125  6 Na 3.04-3.28
Au 0.5000 0.1422 0.8579  1 Au 2.80, 4 Na 3.02-3.05
Au 0.8127 0.6871 0.6875  6 Na 3.04-3.28
K 0.1336 0.8665 0.8663  6 Au 3.41-3.61, 2 Na 3.63
K 0.8664 0.1335 0.1337  6 Au 3.41-3.61, 2 Na 3.63

Results
Calculated formation energy in meV/atom: -224

***

[10]
First-principles (PBE-GGA) data for crystalline K12NaAu7 at its relaxed geometry, as listed in Alexandria via LeMat-Bulk.

Cell: 6.8589 11.9651 11.9651 Å, 116.44 101.02 101.02°
With the nearest neighbours (Å) after each atom.
Fractional positions:
K 0.0792 0.8529 0.3857  3 Au 3.39-3.54
K 0.3065 0.3857 0.5329  3 Au 3.39-3.54
K 0.9208 0.1471 0.6143  3 Au 3.39-3.54
K 0.6935 0.6143 0.4671  3 Au 3.39-3.54
K 0.5437 0.9262 0.7068  5 Au 3.30-3.51
K 0.7736 0.4671 0.8529  3 Au 3.39-3.54
K 0.6174 0.7806 0.0738  5 Au 3.30-3.51
K 0.4563 0.0738 0.2932  5 Au 3.30-3.51
K 0.1632 0.7068 0.7806  5 Au 3.30-3.51
K 0.8368 0.2932 0.2194  5 Au 3.30-3.51
K 0.3826 0.2194 0.9262  5 Au 3.30-3.51
K 0.2264 0.5329 0.1471  3 Au 3.39-3.54
Au 0.1046 0.7732 0.0752  7 K 3.36-3.54, 1 Na 3.37
Au 0.3314 0.3020 0.2268  7 K 3.36-3.54, 1 Na 3.37
Au 0.0294 0.9248 0.6980  7 K 3.36-3.54, 1 Na 3.37
Au 0.8954 0.2268 0.9248  7 K 3.36-3.54, 1 Na 3.37
Au 0.9706 0.0752 0.3020  7 K 3.36-3.54, 1 Na 3.37
Au 0.5000 0.0000 0.0000  6 K 3.30, 2 Na 3.43
Au 0.6686 0.6980 0.7732  7 K 3.36-3.54, 1 Na 3.37
Na 0.0000 0.0000 0.0000  8 Au 3.37-3.43

Results
Calculated formation energy in meV/atom: -200